# TaTl2Cl | Alexandria via LeMat-Bulk | PBE | relaxed
data_TaTl2Cl
_chemical_formula_sum 'Ta3 Tl6 Cl3'
_cell_length_a 3.3382
_cell_length_b 3.3382
_cell_length_c 28.2186
_cell_angle_alpha 90.00
_cell_angle_beta 90.00
_cell_angle_gamma 120.00
_space_group_name_H-M_alt 'R -3 m'
_space_group_IT_number 166
_space_group_name_Hall '-R 3 2"'
loop_
_atom_site_label
_atom_site_type_symbol
_atom_site_fract_x
_atom_site_fract_y
_atom_site_fract_z
Ta1 Ta 0.0000 0.0000 0.0000
Tl1 Tl 0.0000 0.0000 0.2501
Cl1 Cl 0.0000 0.0000 0.5000
# **Uncorrected energy**: -4.25 eV/atom
# **Formation energy without anion corrections**: 34.2 kJ/mol of atoms
# **Distance to the lowest polymorph of the same formula**: 448 meV per atom
# **V**: 272.3 Å³/cell
# **Size of the total moment**: 0.001 Bohr magnetons per cell